DFT (PBE) results for a relaxed ScVHg2P crystal.

Lattice parameters (Å, degrees): 5.001 5.001 4.832 90.00 90.00 90.00
Positions (direct):
Sc: 0.000 0.000 0.000
V: 0.500 0.500 0.000
Hg: 0.000 0.500 0.500
Hg: 0.500 0.000 0.500
P: 0.000 0.000 0.500

Values from the calculation:
Its energy of formation from the pure elements is 719 meV per atom. The space group is No. 123.

=====

DFT (PBE) results for a relaxed ScHgPW2 crystal.

Lattice parameters (Å, degrees): 5.036 5.036 5.059 90.00 90.00 90.00
Positions (direct):
Sc: 0.000 0.000 0.000
Hg: 0.000 0.000 0.500
P: 0.500 0.500 0.000
W: 0.000 0.500 0.500
W: 0.500 0.000 0.500

Values from the calculation:
Its energy of formation from the pure elements is 2316 meV per atom. The space group is No. 123.

=====

DFT (PBE) results for a relaxed HgPSe2 crystal.

Lattice parameters (Å, degrees): 4.871 4.871 4.871 60.00 60.00 60.00
Positions (direct):
Hg: 0.000 0.000 0.000
P: 0.500 0.500 0.500
Se: 0.250 0.250 0.250
Se: 0.750 0.750 0.750

Values from the calculation:
The calculation puts the formation energy (no corrections) at 584 meV per atom. The polymorph energy (0 for the lowest one) comes out at 0.547 eV/atom. The space group is No. 225.

=====

DFT (PBE) results for a relaxed HgPSe2 crystal.

Lattice parameters (Å, degrees): 3.963 3.963 5.989 90.00 90.00 90.00
Positions (direct):
Hg: 0.000 0.000 0.000
P: 0.500 0.500 0.498
Se: 0.000 0.000 0.459
Se: 0.500 0.500 0.873

Values from the calculation:
The calculation puts the formation energy (no corrections) at 85 meV per atom. The polymorph energy (0 for the lowest one) comes out at 0.048 eV/atom. The space group is No. 99.

=====

DFT (PBE) results for a relaxed HgPSe2 crystal.

Lattice parameters (Å, degrees): 3.168 3.168 10.694 90.00 90.00 119.99
Positions (direct):
Hg: 0.000 0.000 0.000
P: 0.500 0.500 0.281
Se: 0.000 0.000 0.440
Se: 0.500 0.500 0.716

Values from the calculation:
The calculation puts the formation energy (no corrections) at 455 meV per atom. The polymorph energy (0 for the lowest one) comes out at 0.419 eV/atom. The space group is No. 35.

=====

DFT (PBE) results for a relaxed HgPSe4 crystal.

Lattice parameters (Å, degrees): 5.711 5.711 5.711 60.00 60.00 60.00
Positions (direct):
Hg: 0.000 0.000 0.000
P: 0.750 0.750 0.750
Se: 0.376 0.376 0.376
Se: 0.376 0.376 0.873
Se: 0.376 0.873 0.376
Se: 0.873 0.376 0.376

Values from the calculation:
The calculation puts the formation energy (no corrections) at 818 meV per atom. The polymorph energy (0 for the lowest one) comes out at 0.800 eV/atom. The space group is No. 216.

=====

DFT (PBE) results for a relaxed HgPSe2 crystal.

Lattice parameters (Å, degrees): 5.031 5.031 3.859 90.00 90.00 114.97
Positions (direct):
Hg: 0.000 0.000 0.000
P: 0.500 0.500 0.000
Se: 0.282 0.718 0.500
Se: 0.718 0.282 0.500

Values from the calculation:
The calculation puts the formation energy (no corrections) at 129 meV per atom. The polymorph energy (0 for the lowest one) comes out at 0.092 eV/atom. The space group is No. 65.

=====

DFT (PBE) results for a relaxed HgP2Se crystal.

Lattice parameters (Å, degrees): 8.908 8.908 8.908 156.50 156.50 33.47
Positions (direct):
Hg: 0.000 0.000 0.000
P: 0.250 0.750 0.500
P: 0.750 0.250 0.500
Se: 0.500 0.500 0.000

Values from the calculation:
The calculation puts the formation energy (no corrections) at 593 meV per atom. The polymorph energy (0 for the lowest one) comes out at 0.475 eV/atom. The space group is No. 139.

=====

DFT (PBE) results for a relaxed HgP2Se crystal.

Lattice parameters (Å, degrees): 5.331 5.331 5.331 141.24 102.57 90.14
Positions (direct):
Hg: 0.000 0.000 0.000
P: 0.268 0.768 0.500
P: 0.732 0.232 0.500
Se: 0.500 0.500 0.000

Values from the calculation:
The calculation puts the formation energy (no corrections) at 640 meV per atom. The polymorph energy (0 for the lowest one) comes out at 0.521 eV/atom. The space group is No. 71.

=====

DFT (PBE) results for a relaxed HgP2Se crystal.

Lattice parameters (Å, degrees): 4.745 4.745 4.745 60.00 60.00 60.00
Positions (direct):
Hg: 0.000 0.000 0.000
P: 0.250 0.250 0.250
P: 0.500 0.500 0.500
Se: 0.750 0.750 0.750

Values from the calculation:
The calculation puts the formation energy (no corrections) at 747 meV per atom. The polymorph energy (0 for the lowest one) comes out at 0.628 eV/atom. The space group is No. 216.

=====

DFT (PBE) results for a relaxed HgPSe2 crystal.

Lattice parameters (Å, degrees): 3.963 3.963 5.507 90.00 90.00 90.00
Positions (direct):
Hg: 0.000 0.000 0.000
P: 0.500 0.500 0.000
Se: 0.000 0.000 0.500
Se: 0.500 0.500 0.500

Values from the calculation:
The calculation puts the formation energy (no corrections) at 316 meV per atom. The polymorph energy (0 for the lowest one) comes out at 0.279 eV/atom. The space group is No. 123.

=====

DFT (PBE) results for a relaxed HgP2Se crystal.

Lattice parameters (Å, degrees): 2.983 2.983 9.909 90.00 90.00 90.00
Positions (direct):
Hg: 0.000 0.000 0.000
P: 0.000 0.000 0.416
P: 0.500 0.500 0.320
Se: 0.500 0.500 0.697

Values from the calculation:
The calculation puts the formation energy (no corrections) at 361 meV per atom. The polymorph energy (0 for the lowest one) comes out at 0.242 eV/atom. The space group is No. 99.